Here is a relaxed FeIrSe crystal from the Alexandria database. Energies are from PBE.

The structure in CIF format:
```
data_FeIrSe
_chemical_formula_sum 'Fe2 Ir2 Se2'
_cell_length_a 3.018
_cell_length_b 3.797
_cell_length_c 7.800
_cell_angle_alpha 90.00
_cell_angle_beta 90.00
_cell_angle_gamma 90.00
_symmetry_space_group_name_H-M 'I m m 2'
_symmetry_Int_Tables_number 44
loop_
_symmetry_equiv_pos_as_xyz
'x,y,z'
'-x,-y,z'
'-x,y,z'
'x,-y,z'
'x+1/2,y+1/2,z+1/2'
'-x+1/2,-y+1/2,z+1/2'
'-x+1/2,y+1/2,z+1/2'
'x+1/2,-y+1/2,z+1/2'
loop_
_atom_site_label
_atom_site_fract_x
_atom_site_fract_y
_atom_site_fract_z
_atom_site_occupancy
Fe1 0.000 0.000 0.000 1
Ir1 0.000 0.000 0.653 1
Se1 0.000 0.000 0.322 1
```

Calculated values
Formation energy (no corrections) = 0.37 eV/atom
DFT total energy = -6.567 eV per atom
Calculated volume = 89.4 Å³ per cell

***

Here is a relaxed Fe6Te7 crystal from the Alexandria database. Energies are from PBE.

The structure in CIF format:
```
data_Fe6Te7
_chemical_formula_sum 'Fe18 Te21'
_cell_length_a 7.4673
_cell_length_b 7.4673
_cell_length_c 21.2452
_cell_angle_alpha 90.00
_cell_angle_beta 90.00
_cell_angle_gamma 120.00
_symmetry_space_group_name_H-M 'R -3 m'
_symmetry_Int_Tables_number 166
_symmetry_space_group_name_Hall '-R 3 2"'
loop_
_atom_site_label
_atom_site_fract_x
_atom_site_fract_y
_atom_site_fract_z
_atom_site_occupancy
Fe1 0.0000 0.0000 0.0690 1
Fe2 0.0000 0.0000 0.1742 1
Fe3 0.0000 0.0000 0.3449 1
Te1 0.0000 0.0000 0.5000 1
Te2 0.0219 0.5110 0.9246 1
```

Calculated values
Formation energy (no corrections) = 0.82 eV/atom
DFT total energy = -4.781 eV per atom
Calculated volume = 1025.9 Å³ per cell